# 1
DFT (PBE) results for crystalline K2TlMo at its relaxed geometry.

Symmetry: P4/mmm, No. 123
Relative energy among the computed polymorphs (eV per atom): 0.325
Formation enthalpy at 0 K (eV per atom): 1.086

a b c (Å): 4.7911 4.7911 6.1587
angles (deg): 90.00 90.00 90.00
Closest atoms and distances in Å follow each position.
Atoms (fractional coordinates):
K: 0.0000 0.0000 0.2493  2 K 3.07-3.09
K: 0.0000 0.0000 0.7507  2 K 3.07-3.09
Tl: 0.5000 0.5000 0.5000  2 Mo 3.08
Mo: 0.5000 0.5000 0.0000  2 Tl 3.08


# 2
DFT (PBE) results for crystalline Pr3Y2Tl3 at its relaxed geometry.

Symmetry: Immm, No. 71
Relative energy among the computed polymorphs (eV per atom): 0.052
Formation enthalpy at 0 K (eV per atom): -0.277

a b c (Å): 11.2084 11.2084 11.2084
angles (deg): 156.95 153.52 35.38
Closest atoms and distances in Å follow each position.
Atoms (fractional coordinates):
Pr: 0.0000 0.0000 0.0000  8 Tl 3.41-3.59, 4 Pr 3.62
Pr: 0.3803 0.8803 0.5000  6 Tl 3.40-3.42, 4 Y 3.59-3.79, 2 Pr 3.62
Pr: 0.6197 0.1197 0.5000  6 Tl 3.40-3.42, 4 Y 3.59-3.79, 2 Pr 3.62
Y: 0.2369 0.2369 0.0000  2 Tl 3.18, 4 Y 3.45
Y: 0.7631 0.7631 0.0000  2 Tl 3.18, 4 Y 3.45
Tl: 0.1315 0.6315 0.5000  2 Y 3.18, 4 Pr 3.42
Tl: 0.5000 0.5000 0.0000  8 Pr 3.40-3.41, 4 Tl 3.80
Tl: 0.8685 0.3685 0.5000  2 Y 3.18, 4 Pr 3.42


# 3
DFT (PBE) results for crystalline Cd3InAu5 at its relaxed geometry.

Symmetry: I4/mcm, No. 140
Formation enthalpy at 0 K (eV per atom): 0.038

a b c (Å): 8.1691 8.1691 8.1691
angles (deg): 118.57 118.57 92.49
Closest atoms and distances in Å follow each position.
Atoms (fractional coordinates):
Cd: 0.1142 0.6142 0.7284  2 Au 2.68, 1 Cd 2.70
Cd: 0.2500 0.2500 0.0000  2 Au 2.82
Cd: 0.3858 0.1142 0.5000  2 Au 2.68, 1 Cd 2.70
Cd: 0.6142 0.8858 0.5000  2 Au 2.68, 1 Cd 2.70
Cd: 0.7500 0.7500 0.0000  2 Au 2.82
Cd: 0.8858 0.3858 0.2716  2 Au 2.68, 1 Cd 2.70
In: 0.2500 0.7500 0.5000  4 Au 2.69
In: 0.7500 0.2500 0.5000  4 Au 2.69
Au: 0.0000 0.0000 0.0000  2 Cd 2.82
Au: 0.0643 0.1648 0.5000  1 Cd 2.68, 1 In 2.69, 1 Au 2.85
Au: 0.1648 0.6648 0.1004  1 Cd 2.68, 1 In 2.69, 1 Au 2.85
Au: 0.3352 0.4357 0.5000  1 Cd 2.68, 1 In 2.69, 1 Au 2.85
Au: 0.4357 0.9357 0.1004  1 Cd 2.68, 1 In 2.69, 1 Au 2.85
Au: 0.5000 0.5000 0.0000  2 Cd 2.82
Au: 0.5643 0.0643 0.8996  1 Cd 2.68, 1 In 2.69, 1 Au 2.85
Au: 0.6648 0.5643 0.5000  1 Cd 2.68, 1 In 2.69, 1 Au 2.85
Au: 0.8352 0.3352 0.8996  1 Cd 2.68, 1 In 2.69, 1 Au 2.85
Au: 0.9357 0.8352 0.5000  1 Cd 2.68, 1 In 2.69, 1 Au 2.85


# 4
DFT (PBE) results for crystalline NaSnI2 at its relaxed geometry.

Formation energy from raw total energies (meV per atom): -432
Symmetry: Fm-3m, No. 225
Relative energy among the computed polymorphs (eV per atom): 0.263

a b c (Å): 5.7318 5.7318 5.7318
angles (deg): 60.00 60.00 60.00
Closest atoms and distances in Å follow each position.
Atoms (fractional coordinates):
Na: 0.0000 0.0000 0.0000  8 I 3.51
Sn: 0.5000 0.5000 0.5000  8 I 3.51
I: 0.2500 0.2500 0.2500  4 Sn 3.51, 4 Na 3.51
I: 0.7500 0.7500 0.7500  4 Na 3.51, 4 Sn 3.51


# 5
DFT (PBE) results for crystalline Sm2YCdO at its relaxed geometry.

Formation energy from raw total energies (meV per atom): -1308
Symmetry: P4/mmm, No. 123

a b c (Å): 4.9161 4.9161 4.8036
angles (deg): 90.00 90.00 90.00
Closest atoms and distances in Å follow each position.
Atoms (fractional coordinates):
Sm: 0.0000 0.5000 0.0000  2 O 2.46
Sm: 0.5000 0.0000 0.0000  2 O 2.46
Y: 0.0000 0.0000 0.5000  2 O 2.40
Cd: 0.5000 0.5000 0.5000  8 Sm 3.44, 4 Y 3.48
O: 0.0000 0.0000 0.0000  2 Y 2.40, 4 Sm 2.46


# 6
DFT (PBE) results for crystalline CuIr2Cl at its relaxed geometry.

Formation energy from raw total energies (meV per atom): 431
Symmetry: Cm, No. 8
Relative energy among the computed polymorphs (eV per atom): 0.150

a b c (Å): 4.4445 4.4445 7.6201
angles (deg): 121.59 121.59 37.15
Closest atoms and distances in Å follow each position.
Atoms (fractional coordinates):
Cu: 0.0000 0.0000 0.0000  2 Cl 2.40, 2 Ir 2.66
Ir: 0.2745 0.2745 0.6527  3 Ir 2.44-2.53, 2 Cl 2.65, 2 Cu 2.66
Ir: 0.6124 0.6124 0.7851  3 Ir 2.44-2.53, 3 Cu 2.70-2.73
Cl: 0.6296 0.6296 0.3031  2 Cu 2.40, 2 Ir 2.65


# 7
DFT (PBE) results for crystalline ZrTlNi2 at its relaxed geometry.

Symmetry: R-3m, No. 166
Formation enthalpy at 0 K (eV per atom): 0.107

a b c (Å): 7.5727 7.5727 7.5727
angles (deg): 26.06 26.06 26.06
Closest atoms and distances in Å follow each position.
Atoms (fractional coordinates):
Zr: 0.0000 0.0000 0.0000  6 Ni 2.62
Tl: 0.5000 0.5000 0.5000  6 Ni 2.76
Ni: 0.2548 0.2548 0.2548  3 Zr 2.62, 3 Tl 2.76
Ni: 0.7452 0.7452 0.7452  3 Zr 2.62, 3 Tl 2.76


# 8
DFT (PBE) results for crystalline NaBi2Pb at its relaxed geometry.

Symmetry: C2/m, No. 12
Formation enthalpy at 0 K (eV per atom): -0.142

a b c (Å): 7.0300 7.0300 6.1492
angles (deg): 106.78 106.78 59.28
Closest atoms and distances in Å follow each position.
Atoms (fractional coordinates):
Na: 0.1279 0.1279 0.2449  3 Pb 3.48-3.57, 8 Bi 3.48-3.55, 1 Na 3.55
Na: 0.8721 0.8721 0.7551  3 Pb 3.48-3.57, 8 Bi 3.48-3.55, 1 Na 3.55
Bi: 0.1238 0.6290 0.2602  4 Bi 3.44-3.64, 4 Pb 3.46-3.57, 4 Na 3.48-3.55
Bi: 0.3710 0.8762 0.7398  4 Bi 3.44-3.64, 4 Pb 3.46-3.57, 4 Na 3.48-3.55
Bi: 0.6290 0.1238 0.2602  4 Bi 3.44-3.64, 4 Pb 3.46-3.57, 4 Na 3.48-3.55
Bi: 0.8762 0.3710 0.7398  4 Bi 3.44-3.64, 4 Pb 3.46-3.57, 4 Na 3.48-3.55
Pb: 0.3730 0.3730 0.7625  8 Bi 3.46-3.57, 3 Na 3.48-3.57, 1 Pb 3.48
Pb: 0.6270 0.6270 0.2375  8 Bi 3.46-3.57, 3 Na 3.48-3.57, 1 Pb 3.48


# 9
DFT (PBE) results for crystalline Rb2TcSnW at its relaxed geometry.

Symmetry: P4/mmm, No. 123
Formation enthalpy at 0 K (eV per atom): 2.428

a b c (Å): 5.9051 5.9051 5.2010
angles (deg): 90.00 90.00 90.00
Closest atoms and distances in Å follow each position.
Atoms (fractional coordinates):
Rb: 0.0000 0.5000 0.0000  2 Tc 2.95
Rb: 0.5000 0.0000 0.0000  2 Tc 2.95
Tc: 0.0000 0.0000 0.0000  2 Sn 2.60
Sn: 0.0000 0.0000 0.5000  2 Tc 2.60
W: 0.5000 0.5000 0.5000  8 Rb 3.93, 4 Sn 4.18


# 10
DFT (PBE) results for crystalline ScBeP2Os at its relaxed geometry.

Symmetry: P4/mmm, No. 123
Formation enthalpy at 0 K (eV per atom): 1.685

a b c (Å): 4.6894 4.6894 4.3283
angles (deg): 90.00 90.00 90.00
Closest atoms and distances in Å follow each position.
Atoms (fractional coordinates):
Sc: 0.0000 0.0000 0.0000  2 Be 2.16, 4 P 2.34
Be: 0.0000 0.0000 0.5000  2 Sc 2.16
P: 0.0000 0.5000 0.0000  2 Sc 2.34
P: 0.5000 0.0000 0.0000  2 Sc 2.34
Os: 0.5000 0.5000 0.5000  8 P 3.19, 4 Be 3.32


# 11
DFT (PBE) results for crystalline DyHo3Te3 at its relaxed geometry.

Formation energy from raw total energies (meV per atom): -986
Symmetry: R-3, No. 148

a b c (Å): 7.8041 7.8041 7.8041
angles (deg): 70.05 70.05 70.05
Closest atoms and distances in Å follow each position.
Atoms (fractional coordinates):
Dy: 0.1946 0.1946 0.1946  6 Te 3.09-3.20
Dy: 0.8054 0.8054 0.8054  6 Te 3.09-3.20
Ho: 0.1695 0.6476 0.4230  5 Te 3.02-3.33
Ho: 0.3524 0.5770 0.8305  5 Te 3.02-3.33
Ho: 0.4230 0.1695 0.6476  5 Te 3.02-3.33
Ho: 0.5770 0.8305 0.3524  5 Te 3.02-3.33
Ho: 0.6476 0.4230 0.1695  5 Te 3.02-3.33
Ho: 0.8305 0.3524 0.5770  5 Te 3.02-3.33
Te: 0.0413 0.3933 0.8236  5 Ho 3.02-3.33, 2 Dy 3.09-3.20
Te: 0.1764 0.9587 0.6067  5 Ho 3.02-3.33, 2 Dy 3.09-3.20
Te: 0.3933 0.8236 0.0413  5 Ho 3.02-3.33, 2 Dy 3.09-3.20
Te: 0.6067 0.1764 0.9587  5 Ho 3.02-3.33, 2 Dy 3.09-3.20
Te: 0.8236 0.0413 0.3933  5 Ho 3.02-3.33, 2 Dy 3.09-3.20
Te: 0.9587 0.6067 0.1764  5 Ho 3.02-3.33, 2 Dy 3.09-3.20


# 12
DFT (PBE) results for crystalline Ba5As at its relaxed geometry.

Symmetry: Cmmm, No. 65
Relative energy among the computed polymorphs (eV per atom): 0.130
Formation enthalpy at 0 K (eV per atom): -0.224

a b c (Å): 10.5031 10.5031 6.4727
angles (deg): 90.00 90.00 154.53
Closest atoms and distances in Å follow each position.
Atoms (fractional coordinates):
Ba: 0.0000 0.0000 0.0000  4 As 3.98, 8 Ba 4.05-4.21
Ba: 0.1184 0.8816 0.5000  2 As 3.35
Ba: 0.3281 0.6719 0.0000  8 Ba 3.95-4.21
Ba: 0.6719 0.3281 0.0000  8 Ba 3.95-4.21
Ba: 0.8816 0.1184 0.5000  2 As 3.35
As: 0.5000 0.5000 0.5000  4 Ba 3.35


# 13
DFT (PBE) results for crystalline Sm5Ho2ErSc at its relaxed geometry.

Symmetry: Cmcm, No. 63
Formation enthalpy at 0 K (eV per atom): 0.130

a b c (Å): 11.1929 11.1929 10.1328
angles (deg): 90.00 90.00 152.52
Closest atoms and distances in Å follow each position.
Atoms (fractional coordinates):
Sm: 0.0000 0.0000 0.0000  2 Er 3.35, 4 Ho 3.66, 6 Sm 3.67-3.74
Sm: 0.0000 0.0000 0.5000  2 Er 3.35, 4 Ho 3.66, 6 Sm 3.67-3.74
Sm: 0.1263 0.8737 0.7500  1 Sc 3.46, 4 Ho 3.69, 6 Sm 3.74-3.81
Sm: 0.2210 0.7790 0.0625  2 Sm 3.20, 1 Er 3.23, 3 Sc 3.27-3.46, 2 Ho 3.56
Sm: 0.2210 0.7790 0.4375  2 Sm 3.20, 1 Er 3.23, 3 Sc 3.27-3.46, 2 Ho 3.56
Sm: 0.4989 0.5011 0.2500  2 Er 3.46, 4 Ho 3.56-3.58, 6 Sm 3.67-3.81
Sm: 0.5011 0.4989 0.7500  2 Er 3.46, 4 Ho 3.56-3.58, 6 Sm 3.67-3.81
Sm: 0.7790 0.2210 0.5625  2 Sm 3.20, 1 Er 3.23, 3 Sc 3.27-3.46, 2 Ho 3.56
Sm: 0.7790 0.2210 0.9375  2 Sm 3.20, 1 Er 3.23, 3 Sc 3.27-3.46, 2 Ho 3.56
Sm: 0.8737 0.1263 0.2500  1 Sc 3.46, 4 Ho 3.69, 6 Sm 3.74-3.81
Ho: 0.3843 0.6157 0.5014  1 Sc 3.31, 9 Sm 3.56-3.69, 2 Er 3.68
Ho: 0.3843 0.6157 0.9986  1 Sc 3.31, 9 Sm 3.56-3.69, 2 Er 3.68
Ho: 0.6157 0.3843 0.0014  1 Sc 3.31, 9 Sm 3.56-3.69, 2 Er 3.68
Ho: 0.6157 0.3843 0.4986  1 Sc 3.31, 9 Sm 3.56-3.69, 2 Er 3.68
Er: 0.1010 0.8990 0.2500  6 Sm 3.23-3.46
Er: 0.8990 0.1010 0.7500  6 Sm 3.23-3.46
Sc: 0.2854 0.7146 0.7500  7 Sm 3.27-3.46, 2 Ho 3.31, 2 Er 3.63
Sc: 0.7146 0.2854 0.2500  7 Sm 3.27-3.46, 2 Ho 3.31, 2 Er 3.63


# 14
DFT (PBE) results for crystalline GdDyPt2 at its relaxed geometry.

Symmetry: P4/mmm, No. 123
Relative energy among the computed polymorphs (eV per atom): 0.000
Formation enthalpy at 0 K (eV per atom): -1.191

a b c (Å): 4.9875 4.9875 3.4751
angles (deg): 90.00 90.00 90.00
Closest atoms and distances in Å follow each position.
Atoms (fractional coordinates):
Gd: 0.0000 0.0000 0.0000  8 Pt 3.04
Dy: 0.5000 0.5000 0.0000  8 Pt 3.04
Pt: 0.0000 0.5000 0.5000  4 Dy 3.04, 4 Gd 3.04
Pt: 0.5000 0.0000 0.5000  4 Dy 3.04, 4 Gd 3.04